(1)
Here is a relaxed structure of Ba2SrSn2Sb4 from the Alexandria database. Energies are from GGA-PBE.

Properties
- Total magnetic moment: 0.0 Bohr magnetons per cell
- Energy relative to the elements, uncorrected: -0.66 eV/atom

Lattice parameters (Å, degrees): 16.6496 5.1829 7.8388 90.00 105.02 90.00
Space group C2/m (No. 12)
Unique sites:
Ba 0.1360 0.0000 0.0816 x4
Sr 0.0000 0.0000 0.5000 x2
Sn 0.1601 0.5000 0.5113 x4
Sb 0.0011 0.5000 0.1942 x4
Sb 0.2148 0.0000 0.7058 x4

***

(2)
Here is a relaxed structure of SbTePt2 from the Alexandria database. Energies are from GGA-PBE.

Properties
- Total magnetic moment: 0.0 Bohr magnetons per cell
- Energy relative to the elements, uncorrected: -0.24 eV/atom

Lattice parameters (Å, degrees): 6.7990 3.9353 6.8292 90.00 109.59 90.00
Space group C2/m (No. 12)
Unique sites:
Sb 0.0000 0.0000 0.0000 x2
Te 0.0000 0.5000 0.5000 x2
Pt 0.2473 0.5000 0.2417 x4